Record 1
Compound: Tb2TcMoN5
Source: the Alexandria database
Functional: GGA-PBE
Structure: optimized geometry

Structure (POSCAR):
```
Tb2TcMoN5
1.0
1.6187 -6.5324 0.0000
1.6187 6.5324 0.0000
0.0000 0.0000 10.3008
Tb Tc Mo N
4 2 2 10
direct
0.1076 0.8924 0.5000 Tb
0.1489 0.8511 0.0855 Tb
0.8511 0.1489 0.5855 Tb
0.8924 0.1076 0.0000 Tb
0.4787 0.5213 0.2619 Tc
0.5213 0.4787 0.7619 Tc
0.2213 0.7787 0.8076 Mo
0.7787 0.2213 0.3076 Mo
0.0517 0.9483 0.8551 N
0.2793 0.7207 0.4421 N
0.3211 0.6789 0.1698 N
0.3683 0.6317 0.7981 N
0.4871 0.5129 0.5792 N
0.5129 0.4871 0.0792 N
0.6317 0.3683 0.2981 N
0.6789 0.3211 0.6698 N
0.7207 0.2793 0.9421 N
0.9483 0.0517 0.3551 N
```

Calculated values
Calculated volume   12.10 Å³ per atom
Electronic total energy   -158.65 eV for the cell shown
Crystal system   orthorhombic

---

Record 2
Compound: YTaCoPb2
Source: the Alexandria database
Functional: GGA-PBE
Structure: optimized geometry

Structure (POSCAR):
```
YTaCoPb2
1.0
5.6418 0.0000 0.0000
0.0000 5.6418 0.0000
0.0000 0.0000 4.4212
Y Ta Co Pb
1 1 1 2
direct
0.0000 0.0000 0.0000 Y
0.5000 0.5000 0.5000 Ta
0.0000 0.0000 0.5000 Co
0.0000 0.5000 0.0000 Pb
0.5000 0.0000 0.0000 Pb
```

Calculated values
Calculated volume   28.15 Å³ per atom
E_form   163.84 kJ per mole of atoms
Crystal system   tetragonal

---

Record 3
Compound: BaRuCl2
Source: the Alexandria database
Functional: GGA-PBE
Structure: optimized geometry

Structure (POSCAR):
```
BaRuCl2
1.0
-2.6594 2.6594 7.6685
2.6594 -2.6594 7.6685
2.6594 2.6594 -7.6685
Ba Ru Cl
2 2 4
direct
0.0000 0.0000 0.0000 Ba
0.7500 0.2500 0.5000 Ba
0.2500 0.7500 0.5000 Ru
0.5000 0.5000 0.0000 Ru
0.2338 0.6250 0.1088 Cl
0.3750 0.4838 0.6088 Cl
0.5162 0.1250 0.8912 Cl
0.8750 0.7662 0.3912 Cl
```

Calculated values
Calculated volume   27.12 Å³ per atom
Electronic total energy   -34.20 eV for the cell shown
Crystal system   tetragonal

---

Record 4
Compound: Ni2Te6Rh
Source: the Alexandria database
Functional: GGA-PBE
Structure: optimized geometry

Structure (POSCAR):
```
Ni2Te6Rh
1.0
5.8561 -6.2634 0.0000
5.8561 6.2634 0.0000
-2.7129 0.0000 6.1418
Ni Te Rh
4 12 2
direct
0.0463 0.2264 0.2023 Ni
0.2264 0.0463 0.7023 Ni
0.7736 0.9537 0.2977 Ni
0.9537 0.7736 0.7977 Ni
0.0073 0.1995 0.5480 Te
0.1422 0.5689 0.8626 Te
0.1995 0.0073 0.0480 Te
0.2922 0.4477 0.3164 Te
0.4311 0.8578 0.6374 Te
0.4477 0.2922 0.8164 Te
0.5523 0.7078 0.1836 Te
0.5689 0.1422 0.3626 Te
0.7078 0.5523 0.6836 Te
0.8005 0.9927 0.9520 Te
0.8578 0.4311 0.1374 Te
0.9927 0.8005 0.4520 Te
0.4133 0.5867 0.7500 Rh
0.5867 0.4133 0.2500 Rh
```

Calculated values
Calculated volume   25.03 Å³ per atom
Electronic total energy   -78.52 eV for the cell shown
Crystal system   monoclinic

---

Record 5
Compound: Nd3As2N
Source: the Alexandria database
Functional: GGA-PBE
Structure: optimized geometry

Structure (POSCAR):
```
Nd3As2N
1.0
6.4607 -3.0125 0.0000
6.4607 3.0125 0.0000
-2.4432 0.0000 7.5576
Nd As N
6 4 2
direct
0.0537 0.9463 0.7500 Nd
0.3525 0.3571 0.4258 Nd
0.3571 0.3525 0.9258 Nd
0.6429 0.6475 0.0742 Nd
0.6475 0.6429 0.5742 Nd
0.9463 0.0537 0.2500 Nd
0.1676 0.1790 0.0857 As
0.1790 0.1676 0.5857 As
0.8210 0.8324 0.4143 As
0.8324 0.8210 0.9143 As
0.4443 0.5557 0.7500 N
0.5557 0.4443 0.2500 N
```

Calculated values
Calculated volume   24.52 Å³ per atom
Electronic total energy   -79.59 eV for the cell shown
Crystal system   monoclinic

---

Record 6
Compound: Na3H4Cl3O2
Source: the Alexandria database
Functional: GGA-PBE
Structure: optimized geometry

Structure (POSCAR):
```
Na3H4Cl3O2
1.0
-2.5400 8.7160 2.5955
2.5400 -8.7160 2.5955
2.5400 8.7160 -2.5955
Na H Cl O
3 4 3 2
direct
0.0000 0.0000 0.0000 Na
0.1758 0.5237 0.6521 Na
0.8715 0.5237 0.3479 Na
0.1866 0.3236 0.8629 H
0.2654 0.0787 0.1867 H
0.4607 0.3236 0.1371 H
0.8920 0.0787 0.8133 H
0.3239 0.0244 0.2994 Cl
0.7250 0.0244 0.7006 Cl
0.8695 0.3695 0.5000 Cl
0.0049 0.1362 0.8687 O
0.2674 0.1362 0.1313 O
```

Calculated values
Calculated volume   19.15 Å³ per atom
Electronic total energy   -48.85 eV for the cell shown
Crystal system   orthorhombic

---

Record 7
Compound: CuSCl
Source: the Alexandria database
Functional: GGA-PBE
Structure: optimized geometry

Structure (POSCAR):
```
CuSCl
1.0
5.6460 -6.3887 0.0000
5.6460 6.3887 0.0000
0.0000 0.0000 11.1745
Cu S Cl
12 12 12
direct
0.0472 0.6340 0.6125 Cu
0.0472 0.6340 0.8875 Cu
0.2718 0.4061 0.7500 Cu
0.3660 0.9528 0.6125 Cu
0.3660 0.9528 0.8875 Cu
0.4061 0.2718 0.2500 Cu
0.5939 0.7282 0.7500 Cu
0.6340 0.0472 0.1125 Cu
0.6340 0.0472 0.3875 Cu
0.7282 0.5939 0.2500 Cu
0.9528 0.3660 0.1125 Cu
0.9528 0.3660 0.3875 Cu
0.0936 0.9064 0.6609 S
0.0936 0.9064 0.8391 S
0.3006 0.6994 0.5366 S
0.3006 0.6994 0.9634 S
0.4404 0.5596 0.6190 S
0.4404 0.5596 0.8810 S
0.5596 0.4404 0.1190 S
0.5596 0.4404 0.3810 S
0.6994 0.3006 0.0366 S
0.6994 0.3006 0.4634 S
0.9064 0.0936 0.1609 S
0.9064 0.0936 0.3391 S
0.0734 0.3594 0.5985 Cl
0.0734 0.3594 0.9015 Cl
0.1638 0.4074 0.2500 Cl
0.3594 0.0734 0.0985 Cl
0.3594 0.0734 0.4015 Cl
0.4074 0.1638 0.7500 Cl
0.5926 0.8362 0.2500 Cl
0.6406 0.9266 0.5985 Cl
0.6406 0.9266 0.9015 Cl
0.8362 0.5926 0.7500 Cl
0.9266 0.6406 0.0985 Cl
0.9266 0.6406 0.4015 Cl
```

Calculated values
Calculated volume   22.39 Å³ per atom
Electronic total energy   -130.62 eV for the cell shown
Crystal system   orthorhombic

---

Record 8
Compound: BeAuF2
Source: the Alexandria database
Functional: GGA-PBE
Structure: optimized geometry

Structure (POSCAR):
```
BeAuF2
1.0
1.4380 0.8302 10.0833
-1.4380 0.8302 10.0833
0.0000 -1.6604 10.0833
Be Au F
1 1 2
direct
0.0000 0.0000 0.0000 Be
0.5000 0.5000 0.5000 Au
0.0452 0.0452 0.0452 F
0.9548 0.9548 0.9548 F
```

Calculated values
Calculated volume   18.06 Å³ per atom
Electronic total energy   -17.33 eV for the cell shown
Crystal system   trigonal

---

Record 9
Compound: NaScMnBr6
Source: the Alexandria database
Functional: GGA-PBE
Structure: optimized geometry

Structure (POSCAR):
```
NaScMnBr6
1.0
6.6140 0.0000 0.0000
-3.3070 5.7279 0.0000
0.0000 0.0000 13.4553
Na Sc Mn Br
2 2 2 12
direct
0.0000 0.0000 0.0000 Na
0.0000 0.0000 0.5000 Na
0.3333 0.6667 0.2500 Sc
0.6667 0.3333 0.7500 Sc
0.3333 0.6667 0.7500 Mn
0.6667 0.3333 0.2500 Mn
0.0181 0.3697 0.6394 Br
0.0181 0.6483 0.8606 Br
0.3517 0.3697 0.8606 Br
0.3517 0.9819 0.6394 Br
0.3697 0.0181 0.1394 Br
0.3697 0.3517 0.3606 Br
0.6303 0.6483 0.6394 Br
0.6303 0.9819 0.8606 Br
0.6483 0.0181 0.3606 Br
0.6483 0.6303 0.1394 Br
0.9819 0.3517 0.1394 Br
0.9819 0.6303 0.3606 Br
```

Calculated values
Calculated volume   28.32 Å³ per atom
Electronic total energy   -73.60 eV for the cell shown
Crystal system   trigonal

---

Record 10
Compound: LiLa3Dy3Se8
Source: the Alexandria database
Functional: GGA-PBE
Structure: optimized geometry

Structure (POSCAR):
```
LiLa3Dy3Se8
1.0
4.1425 2.3917 6.8726
-4.1425 2.3917 6.8726
0.0000 -4.7833 6.8726
Li La Dy Se
1 3 3 8
direct
0.0000 0.0000 0.0000 Li
0.0000 0.0000 0.5000 La
0.0000 0.5000 0.0000 La
0.5000 0.0000 0.0000 La
0.0000 0.5000 0.5000 Dy
0.5000 0.0000 0.5000 Dy
0.5000 0.5000 0.0000 Dy
0.2449 0.2449 0.7442 Se
0.2449 0.7442 0.2449 Se
0.2558 0.2558 0.2558 Se
0.2558 0.7551 0.7551 Se
0.7442 0.2449 0.2449 Se
0.7442 0.7442 0.7442 Se
0.7551 0.2558 0.7551 Se
0.7551 0.7551 0.2558 Se
```

Calculated values
Calculated volume   27.24 Å³ per atom
Electronic total energy   -86.28 eV for the cell shown
Crystal system   trigonal

---

Record 11
Compound: Tb3Pr2Tm6Sc
Source: the Alexandria database
Functional: GGA-PBE
Structure: optimized geometry

Structure (POSCAR):
```
Tb3Pr2Tm6Sc
1.0
3.0507 -5.2828 0.0000
3.0507 5.2828 0.0000
-2.0297 0.0000 11.4943
Tb Pr Tm Sc
3 2 6 1
direct
0.0000 0.0000 0.0000 Tb
0.3334 0.6666 0.0000 Tb
0.6666 0.3334 0.0000 Tb
0.1663 0.8337 0.5000 Pr
0.8337 0.1663 0.5000 Pr
0.0864 0.4166 0.2494 Tm
0.2532 0.2532 0.7512 Tm
0.4166 0.0864 0.2494 Tm
0.5834 0.9136 0.7506 Tm
0.7468 0.7468 0.2488 Tm
0.9136 0.5834 0.7506 Tm
0.5000 0.5000 0.5000 Sc
```

Calculated values
Calculated volume   30.87 Å³ per atom
E_form   2.73 kJ per mole of atoms
Crystal system   monoclinic

---

Record 12
Compound: Pu2Cu3Ge4Au
Source: the Alexandria database
Functional: GGA-PBE
Structure: optimized geometry

Structure (POSCAR):
```
Pu2Cu3Ge4Au
1.0
4.2278 0.0000 0.0000
0.0000 4.2278 0.0000
0.0000 0.0000 10.1650
Pu Cu Ge Au
2 3 4 1
direct
0.0000 0.5000 0.2430 Pu
0.5000 0.0000 0.7570 Pu
0.0000 0.5000 0.8768 Cu
0.5000 0.0000 0.1232 Cu
0.5000 0.5000 0.5000 Cu
0.0000 0.0000 0.0000 Ge
0.0000 0.5000 0.6460 Ge
0.5000 0.0000 0.3540 Ge
0.5000 0.5000 0.0000 Ge
0.0000 0.0000 0.5000 Au
```

Calculated values
Calculated volume   18.17 Å³ per atom
E_form   -29.22 kJ per mole of atoms
Crystal system   tetragonal

---

Record 13
Compound: RbFe2BiCl8
Source: the Alexandria database
Functional: GGA-PBE
Structure: optimized geometry

Structure (POSCAR):
```
RbFe2BiCl8
1.0
5.3779 -3.7364 0.0000
5.3779 3.7364 0.0000
-0.8743 0.0000 9.8450
Rb Fe Bi Cl
1 2 1 8
direct
0.0000 0.0000 0.0000 Rb
0.3797 0.3797 0.7189 Fe
0.6203 0.6203 0.2811 Fe
0.0000 0.0000 0.5000 Bi
0.2439 0.7382 0.2930 Cl
0.2550 0.2550 0.5163 Cl
0.2618 0.7561 0.7070 Cl
0.3002 0.3002 0.9178 Cl
0.6998 0.6998 0.0822 Cl
0.7382 0.2439 0.2930 Cl
0.7450 0.7450 0.4837 Cl
0.7561 0.2618 0.7070 Cl
```

Calculated values
Calculated volume   32.97 Å³ per atom
Electronic total energy   -48.47 eV for the cell shown
Crystal system   monoclinic

---

Record 14
Compound: Y5IrAu2
Source: the Alexandria database
Functional: GGA-PBE
Structure: optimized geometry

Structure (POSCAR):
```
Y5IrAu2
1.0
7.2577 0.0000 0.0000
0.0000 11.8055 0.0000
0.0000 0.0000 4.7693
Y Ir Au
10 2 4
direct
0.0000 0.0000 0.0000 Y
0.1535 0.2928 0.0000 Y
0.1786 0.5863 0.5000 Y
0.3214 0.0863 0.5000 Y
0.3465 0.7928 0.0000 Y
0.5000 0.5000 0.0000 Y
0.6535 0.2072 0.0000 Y
0.6786 0.9137 0.5000 Y
0.8214 0.4137 0.5000 Y
0.8465 0.7072 0.0000 Y
0.0000 0.5000 0.0000 Ir
0.5000 0.0000 0.0000 Ir
0.0689 0.8377 0.5000 Au
0.4311 0.3377 0.5000 Au
0.5689 0.6623 0.5000 Au
0.9311 0.1623 0.5000 Au
```

Calculated values
Calculated volume   25.54 Å³ per atom
E_form   -69.29 kJ per mole of atoms
Crystal system   orthorhombic

---

Record 15
Compound: NbCu3B
Source: the Alexandria database
Functional: GGA-PBE
Structure: optimized geometry

Structure (POSCAR):
```
NbCu3B
1.0
4.8071 0.0000 0.0000
0.0000 4.8071 0.0000
0.0000 0.0000 4.8071
Nb Cu B
1 3 1
direct
0.0000 0.0000 0.0000 Nb
0.0000 0.0000 0.5000 Cu
0.0000 0.5000 0.0000 Cu
0.5000 0.0000 0.0000 Cu
0.5000 0.5000 0.5000 B
```

Calculated values
Calculated volume   22.22 Å³ per atom
E_form   223.82 kJ per mole of atoms
Crystal system   cubic

---

Record 16
Compound: Cs4Sn3PbI12
Source: the Alexandria database
Functional: GGA-PBE
Structure: optimized geometry

Structure (POSCAR):
```
Cs4Sn3PbI12
1.0
-6.3008 6.3008 6.3008
6.3008 -6.3008 6.3008
6.3008 6.3008 -6.3008
Cs Sn Pb I
4 3 1 12
direct
0.0000 0.0000 0.5000 Cs
0.0000 0.5000 0.0000 Cs
0.5000 0.0000 0.0000 Cs
0.5000 0.5000 0.5000 Cs
0.0000 0.5000 0.5000 Sn
0.5000 0.0000 0.5000 Sn
0.5000 0.5000 0.0000 Sn
0.0000 0.0000 0.0000 Pb
0.0000 0.2526 0.2526 I
0.0000 0.7474 0.7474 I
0.2500 0.5000 0.7500 I
0.2500 0.7500 0.5000 I
0.2526 0.0000 0.2526 I
0.2526 0.2526 0.0000 I
0.5000 0.2500 0.7500 I
0.5000 0.7500 0.2500 I
0.7474 0.0000 0.7474 I
0.7474 0.7474 0.0000 I
0.7500 0.2500 0.5000 I
0.7500 0.5000 0.2500 I
```

Calculated values
Calculated volume   50.03 Å³ per atom
Electronic total energy   -56.78 eV for the cell shown
Crystal system   cubic

---

Record 17
Compound: U4S5O
Source: the Alexandria database
Functional: GGA-PBE
Structure: optimized geometry

Structure (POSCAR):
```
U4S5O
1.0
8.2645 -1.9069 0.0000
8.2645 1.9069 0.0000
-1.7508 0.0000 7.0200
U S O
4 5 1
direct
0.0030 0.0030 0.2749 U
0.3391 0.3391 0.4055 U
0.6609 0.6609 0.5945 U
0.9970 0.9970 0.7251 U
0.1625 0.1625 0.8481 S
0.1718 0.1718 0.3340 S
0.5000 0.5000 0.0000 S
0.8282 0.8282 0.6660 S
0.8375 0.8375 0.1519 S
0.5000 0.5000 0.5000 O
```

Calculated values
Calculated volume   22.13 Å³ per atom
Electronic total energy   -85.42 eV for the cell shown
Crystal system   monoclinic

---

Record 18
Compound: RbRu3O
Source: the Alexandria database
Functional: GGA-PBE
Structure: optimized geometry

Structure (POSCAR):
```
RbRu3O
1.0
4.8844 0.0000 0.0000
0.0000 4.8844 0.0000
0.0000 0.0000 4.8844
Rb Ru O
1 3 1
direct
0.0000 0.0000 0.0000 Rb
0.0000 0.0000 0.5000 Ru
0.0000 0.5000 0.0000 Ru
0.5000 0.0000 0.0000 Ru
0.5000 0.5000 0.5000 O
```

Calculated values
Calculated volume   23.31 Å³ per atom
Electronic total energy   -16.40 eV for the cell shown
Crystal system   cubic

---

Record 19
Compound: LaPmEuIn
Source: the Alexandria database
Functional: GGA-PBE
Structure: optimized geometry

Structure (POSCAR):
```
LaPmEuIn
1.0
0.0000 4.0235 4.0235
4.0235 0.0000 4.0235
4.0235 4.0235 0.0000
La Pm Eu In
1 1 1 1
direct
0.0000 0.0000 0.0000 La
0.7500 0.7500 0.7500 Pm
0.5000 0.5000 0.5000 Eu
0.2500 0.2500 0.2500 In
```

Calculated values
Calculated volume   32.57 Å³ per atom
E_form   -10.60 kJ per mole of atoms
Crystal system   cubic

---

Record 20
Compound: Ac2InGaPt6
Source: the Alexandria database
Functional: GGA-PBE
Structure: optimized geometry

Structure (POSCAR):
```
Ac2InGaPt6
1.0
6.2220 -2.7975 0.0000
6.2220 2.7975 0.0000
-6.0365 0.0000 6.4521
Ac In Ga Pt
2 1 1 6
direct
0.2470 0.2470 0.2883 Ac
0.7530 0.7530 0.7117 Ac
0.0000 0.0000 0.5000 In
0.5000 0.5000 0.0000 Ga
0.2463 0.7432 0.2355 Pt
0.2522 0.2522 0.9043 Pt
0.2568 0.7537 0.7645 Pt
0.7432 0.2463 0.2355 Pt
0.7478 0.7478 0.0957 Pt
0.7537 0.2568 0.7645 Pt
```

Calculated values
Calculated volume   22.46 Å³ per atom
E_form   -80.97 kJ per mole of atoms
Crystal system   monoclinic